Record 1
First-principles (PBE-GGA) data for NiMo3H after structural relaxation, as listed in Alexandria.

Cell: 3.938 3.938 3.938 Å, 90.00 90.00 90.00°
Sites, in units of the cell vectors:
Ni: 0.000 0.000 0.000
Mo: 0.000 0.500 0.500
Mo: 0.500 0.000 0.500
Mo: 0.500 0.500 0.000
H: 0.500 0.500 0.500

Results
For the excess energy over the best structure of this formula in the dataset, the calculation gives 0 meV/atom. As for the total DFT energy (no corrections): -8.2378 eV/atom.

***

Record 2
First-principles (PBE-GGA) data for Ni2MoH4 after structural relaxation, as listed in Alexandria.

Cell: 5.200 5.200 5.200 Å, 120.13 120.13 89.77°
Sites, in units of the cell vectors:
Ni: 0.000 0.000 0.000
Ni: 0.000 0.000 0.500
Ni: 0.000 0.500 0.000
Ni: 0.500 0.000 0.500
Mo: 0.375 0.625 0.750
Mo: 0.625 0.375 0.250
H: 0.186 0.228 0.958
H: 0.228 0.186 0.458
H: 0.228 0.770 0.042
H: 0.230 0.772 0.458
H: 0.770 0.228 0.542
H: 0.772 0.230 0.958
H: 0.772 0.814 0.542
H: 0.814 0.772 0.042

Results
As for the total DFT energy (no corrections): -4.9925 eV/atom.

***

Record 3
First-principles (PBE-GGA) data for NiMo2H2 after structural relaxation, as listed in Alexandria.

Cell: 5.897 5.897 2.718 Å, 90.00 90.00 90.00°
Sites, in units of the cell vectors:
Ni: 0.000 0.000 0.000
Ni: 0.500 0.500 0.000
Mo: 0.155 0.345 0.500
Mo: 0.345 0.845 0.500
Mo: 0.655 0.155 0.500
Mo: 0.845 0.655 0.500
H: 0.158 0.658 0.000
H: 0.342 0.158 0.000
H: 0.658 0.842 0.000
H: 0.842 0.342 0.000

Results
For the excess energy over the best structure of this formula in the dataset, the calculation gives 59 meV/atom. As for the total DFT energy (no corrections): -6.6342 eV/atom.

***

Record 4
First-principles (PBE-GGA) data for Ni2MoH2 after structural relaxation, as listed in Alexandria.

Cell: 3.533 2.928 8.172 Å, 90.00 90.39 90.00°
Sites, in units of the cell vectors:
Ni: 0.249 0.250 0.260
Ni: 0.251 0.250 0.582
Ni: 0.749 0.750 0.418
Ni: 0.751 0.750 0.740
Mo: 0.269 0.250 0.914
Mo: 0.731 0.750 0.086
H: 0.249 0.750 0.419
H: 0.254 0.750 0.723
H: 0.746 0.250 0.277
H: 0.751 0.250 0.581

Results
For the excess energy over the best structure of this formula in the dataset, the calculation gives 0 meV/atom. As for the total DFT energy (no corrections): -5.7986 eV/atom.

***

Record 5
First-principles (PBE-GGA) data for NiMoH after structural relaxation, as listed in Alexandria.

Cell: 2.692 4.754 4.761 Å, 81.19 90.00 73.60°
Sites, in units of the cell vectors:
Ni: 0.119 0.260 0.382
Ni: 0.881 0.740 0.618
Mo: 0.387 0.726 0.132
Mo: 0.613 0.274 0.868
H: 0.256 0.988 0.728
H: 0.744 0.012 0.272

Results
For the excess energy over the best structure of this formula in the dataset, the calculation gives 36 meV/atom. As for the total DFT energy (no corrections): -6.6579 eV/atom.

***

Record 6
First-principles (PBE-GGA) data for Ni2MoH2 after structural relaxation, as listed in Alexandria.

Cell: 4.721 4.721 4.721 Å, 137.96 137.96 60.96°
Sites, in units of the cell vectors:
Ni: 0.250 0.750 0.500
Ni: 0.750 0.250 0.500
Mo: 0.000 0.000 0.000
H: 0.326 0.326 0.000
H: 0.674 0.674 0.000

Results
For the excess energy over the best structure of this formula in the dataset, the calculation gives 389 meV/atom. As for the total DFT energy (no corrections): -5.4095 eV/atom.

***

Record 7
First-principles (PBE-GGA) data for Ni5MoH7 after structural relaxation, as listed in Alexandria.

Cell: 2.705 14.551 4.603 Å, 90.00 106.98 90.00°
Sites, in units of the cell vectors:
Ni: 0.000 0.000 0.000
Ni: 0.000 0.500 0.000
Ni: 0.281 0.080 0.554
Ni: 0.281 0.420 0.554
Ni: 0.451 0.650 0.906
Ni: 0.451 0.850 0.906
Ni: 0.549 0.150 0.094
Ni: 0.549 0.350 0.094
Ni: 0.719 0.580 0.446
Ni: 0.719 0.920 0.446
Mo: 0.187 0.750 0.376
Mo: 0.813 0.250 0.624
H: 0.087 0.612 0.181
H: 0.087 0.888 0.181
H: 0.180 0.180 0.354
H: 0.180 0.320 0.354
H: 0.371 0.533 0.733
H: 0.371 0.967 0.733
H: 0.467 0.250 0.934
H: 0.533 0.750 0.066
H: 0.629 0.033 0.267
H: 0.629 0.467 0.267
H: 0.820 0.680 0.646
H: 0.820 0.820 0.646
H: 0.913 0.112 0.819
H: 0.913 0.388 0.819

Results
As for the total DFT energy (no corrections): -4.8587 eV/atom.

***

Record 8
First-principles (PBE-GGA) data for Ni2MoH2 after structural relaxation, as listed in Alexandria.

Cell: 5.949 5.949 2.647 Å, 90.00 90.00 90.00°
Sites, in units of the cell vectors:
Ni: 0.147 0.353 0.000
Ni: 0.353 0.853 0.000
Ni: 0.647 0.147 0.000
Ni: 0.853 0.647 0.000
Mo: 0.000 0.000 0.500
Mo: 0.500 0.500 0.500
H: 0.236 0.736 0.500
H: 0.264 0.236 0.500
H: 0.736 0.764 0.500
H: 0.764 0.264 0.500

Results
For the excess energy over the best structure of this formula in the dataset, the calculation gives 263 meV/atom. As for the total DFT energy (no corrections): -5.5353 eV/atom.

***

Record 9
First-principles (PBE-GGA) data for NiMoH after structural relaxation, as listed in Alexandria.

Cell: 6.626 6.626 2.720 Å, 90.00 90.00 148.23°
Sites, in units of the cell vectors:
Ni: 0.086 0.914 0.750
Ni: 0.914 0.086 0.250
Mo: 0.315 0.685 0.750
Mo: 0.685 0.315 0.250
H: 0.428 0.572 0.250
H: 0.572 0.428 0.750

Results
For the excess energy over the best structure of this formula in the dataset, the calculation gives 223 meV/atom. As for the total DFT energy (no corrections): -6.4712 eV/atom.

***

Record 10
First-principles (PBE-GGA) data for Ni7MoH6 after structural relaxation, as listed in Alexandria.

Cell: 6.897 6.897 6.897 Å, 37.96 37.96 37.96°
Sites, in units of the cell vectors:
Ni: 0.000 0.000 0.000
Ni: 0.111 0.774 0.451
Ni: 0.225 0.551 0.883
Ni: 0.451 0.111 0.774
Ni: 0.551 0.883 0.225
Ni: 0.774 0.451 0.111
Ni: 0.883 0.225 0.551
Mo: 0.666 0.666 0.666
H: 0.080 0.382 0.729
H: 0.253 0.955 0.597
H: 0.382 0.729 0.080
H: 0.597 0.253 0.955
H: 0.729 0.080 0.382
H: 0.955 0.597 0.253

Results
As for the total DFT energy (no corrections): -5.0535 eV/atom.

***

Record 11
First-principles (PBE-GGA) data for Ni5Mo3H12 after structural relaxation, as listed in Alexandria.

Cell: 9.019 9.019 9.019 Å, 109.47 109.47 109.47°
Sites, in units of the cell vectors:
Ni: 0.000 0.000 0.000
Ni: 0.000 0.000 0.500
Ni: 0.000 0.500 0.000
Ni: 0.000 0.500 0.500
Ni: 0.125 0.750 0.875
Ni: 0.125 0.875 0.250
Ni: 0.250 0.125 0.875
Ni: 0.250 0.625 0.375
Ni: 0.375 0.250 0.625
Ni: 0.375 0.625 0.750
Ni: 0.500 0.000 0.000
Ni: 0.500 0.000 0.500
Ni: 0.500 0.500 0.000
Ni: 0.500 0.500 0.500
Ni: 0.625 0.375 0.250
Ni: 0.625 0.750 0.375
Ni: 0.750 0.375 0.625
Ni: 0.750 0.875 0.125
Ni: 0.875 0.125 0.750
Ni: 0.875 0.250 0.125
Mo: 0.125 0.250 0.375
Mo: 0.125 0.375 0.750
Mo: 0.250 0.375 0.125
Mo: 0.250 0.875 0.625
Mo: 0.375 0.125 0.250
Mo: 0.375 0.750 0.125
Mo: 0.625 0.250 0.875
Mo: 0.625 0.875 0.750
Mo: 0.750 0.125 0.375
Mo: 0.750 0.625 0.875
Mo: 0.875 0.625 0.250
Mo: 0.875 0.750 0.625
H: 0.044 0.215 0.130
H: 0.044 0.329 0.914
H: 0.085 0.715 0.671
H: 0.085 0.870 0.414
H: 0.086 0.630 0.415
H: 0.086 0.956 0.671
H: 0.130 0.044 0.215
H: 0.130 0.586 0.915
H: 0.171 0.215 0.585
H: 0.171 0.456 0.586
H: 0.215 0.130 0.044
H: 0.215 0.585 0.171
H: 0.285 0.329 0.915
H: 0.285 0.456 0.370
H: 0.329 0.914 0.044
H: 0.329 0.915 0.285
H: 0.370 0.285 0.456
H: 0.370 0.585 0.914
H: 0.414 0.085 0.870
H: 0.414 0.829 0.544
H: 0.415 0.086 0.630
H: 0.415 0.829 0.785
H: 0.456 0.370 0.285
H: 0.456 0.586 0.171
H: 0.544 0.414 0.829
H: 0.544 0.630 0.715
H: 0.585 0.171 0.215
H: 0.585 0.914 0.370
H: 0.586 0.171 0.456
H: 0.586 0.915 0.130
H: 0.630 0.415 0.086
H: 0.630 0.715 0.544
H: 0.671 0.085 0.715
H: 0.671 0.086 0.956
H: 0.715 0.544 0.630
H: 0.715 0.671 0.085
H: 0.785 0.415 0.829
H: 0.785 0.870 0.956
H: 0.829 0.544 0.414
H: 0.829 0.785 0.415
H: 0.870 0.414 0.085
H: 0.870 0.956 0.785
H: 0.914 0.044 0.329
H: 0.914 0.370 0.585
H: 0.915 0.130 0.586
H: 0.915 0.285 0.329
H: 0.956 0.671 0.086
H: 0.956 0.785 0.870

Results
As for the total DFT energy (no corrections): -4.9848 eV/atom.

***

Record 12
First-principles (PBE-GGA) data for NiMo2H2 after structural relaxation, as listed in Alexandria.

Cell: 5.064 5.064 5.064 Å, 142.02 142.02 54.79°
Sites, in units of the cell vectors:
Ni: 0.000 0.000 0.000
Mo: 0.359 0.359 0.000
Mo: 0.641 0.641 0.000
H: 0.250 0.750 0.500
H: 0.750 0.250 0.500

Results
For the excess energy over the best structure of this formula in the dataset, the calculation gives 0 meV/atom. As for the total DFT energy (no corrections): -6.6937 eV/atom.

***

Number 1: magnetic moment 0.00 μB per cell. Number 2: magnetic moment 0.00 μB per cell. Number 3: magnetic moment 0.00 μB per cell. Number 4: magnetic moment 0.00 μB per cell. Number 5: magnetic moment 0.00 μB per cell. Number 6: magnetic moment 1.77 μB per cell. Number 7: magnetic moment 0.00 μB per cell. Number 8: magnetic moment 1.02 μB per cell. Number 9: magnetic moment 0.00 μB per cell. Number 10: magnetic moment 0.00 μB per cell. Number 11: magnetic moment 0.00 μB per cell. Number 12: magnetic moment 0.00 μB per cell.